This record from Alexandria describes a relaxed structure of Pu2Tl3O7. The functional is PBE.

Formation energy (no corrections) = -1.922 eV/atom
Space group = No. 65

abc: 12.0298 12.0298 4.3191
angles: 90.00 90.00 159.27
Element x y z (fractional)
Pu (0.0903, 0.9097, 0.0000)
Pu (0.9097, 0.0903, 0.0000)
Tl (0.3194, 0.6806, 0.5000)
Tl (0.5000, 0.5000, 0.5000)
Tl (0.6806, 0.3194, 0.5000)
O (0.0000, 0.0000, 0.0000)
O (0.0906, 0.9094, 0.5000)
O (0.1718, 0.8282, 0.0000)
O (0.4094, 0.5906, 0.0000)
O (0.5906, 0.4094, 0.0000)
O (0.8282, 0.1718, 0.0000)
O (0.9094, 0.0906, 0.5000)



This record from Alexandria describes a relaxed structure of La2DyCl8. The functional is PBE.

Formation energy (no corrections) = -2.107 eV/atom
Space group = No. 12

abc: 7.6139 7.6139 5.9477
angles: 100.09 100.09 112.87
Element x y z (fractional)
La (0.1917, 0.8083, 0.0000)
La (0.8083, 0.1917, 0.0000)
Dy (0.5000, 0.5000, 0.5000)
Cl (0.1552, 0.1552, 0.3119)
Cl (0.1586, 0.4202, 0.8881)
Cl (0.2901, 0.7099, 0.5000)
Cl (0.4202, 0.1586, 0.8881)
Cl (0.5798, 0.8414, 0.1119)
Cl (0.7099, 0.2901, 0.5000)
Cl (0.8414, 0.5798, 0.1119)
Cl (0.8448, 0.8448, 0.6881)



This record from Alexandria describes a relaxed structure of Zn2CdHRu. The functional is PBE.

Uncorrected energy = -3.12 eV/atom
Space group = No. 123

abc: 4.2643 4.2643 3.5849
angles: 90.00 90.00 90.00
Element x y z (fractional)
Zn (0.0000, 0.5000, 0.0000)
Zn (0.5000, 0.0000, 0.0000)
Cd (0.0000, 0.0000, 0.5000)
H (0.5000, 0.5000, 0.0000)
Ru (0.5000, 0.5000, 0.5000)